No. 1
The following is a PBE-GGA calculation of a geometry-optimized LaYPbW2 structure, from Alexandria via LeMat-Bulk.

a = 5.181 Å, b = 5.181 Å, c = 5.513 Å
α = 90.00°, β = 90.00°, γ = 90.00°
Fractional positions:
La 0.000 0.000 0.000
Y 0.500 0.500 0.000
Pb 0.500 0.500 0.500
W 0.000 0.500 0.500
W 0.500 0.000 0.500

Properties
energy of formation from the pure elements: 1.747 eV/atom
Fermi-level density of states: 10.775 states/eV per cell
magnetic moment: 0.00 μB/atom

=====

No. 2
The following is a PBE-GGA calculation of a geometry-optimized SnPPtO structure, from Alexandria via LeMat-Bulk.

a = 8.323 Å, b = 3.307 Å, c = 6.447 Å
α = 90.00°, β = 128.44°, γ = 90.00°
Fractional positions:
Sn 0.000 0.000 0.000
Sn 0.500 0.500 0.000
P 0.043 0.000 0.544
P 0.543 0.500 0.544
Pt 0.205 0.500 0.455
Pt 0.705 0.000 0.455
O 0.187 0.000 0.865
O 0.687 0.500 0.865

Properties
energy relative to the lowest polymorph listed for this composition: 32.8 meV/atom
Fermi-level density of states: 1.993 states/eV per cell
E_form (uncorrected): -780 meV per atom
magnetic moment: 0.00 μB/atom

=====

No. 3
The following is a PBE-GGA calculation of a geometry-optimized Tl2TeF structure, from Alexandria via LeMat-Bulk.

a = 3.463 Å, b = 3.463 Å, c = 8.727 Å
α = 90.00°, β = 90.00°, γ = 90.00°
Fractional positions:
Tl 0.000 0.000 0.193
Tl 0.000 0.000 0.807
Te 0.500 0.500 0.500
F 0.500 0.500 0.000

Properties
energy relative to the lowest polymorph listed for this composition: 75.5 meV/atom
Fermi-level density of states: 1.165 states/eV per cell
E_form (uncorrected): -875 meV per atom
magnetic moment: 0.00 μB/atom

=====

No. 4
The following is a PBE-GGA calculation of a geometry-optimized KTePt structure, from Alexandria via LeMat-Bulk.

a = 4.487 Å, b = 4.487 Å, c = 5.275 Å
α = 90.00°, β = 90.00°, γ = 120.00°
Fractional positions:
K 0.000 0.000 0.000
Te 0.333 0.667 0.499
Pt 0.667 0.333 0.501

Properties
Fermi-level density of states: 1.469 states/eV per cell
E_form (uncorrected): -594 meV per atom
magnetic moment: 0.00 μB/atom

=====

No. 5
The following is a PBE-GGA calculation of a geometry-optimized Zn3BPt structure, from Alexandria via LeMat-Bulk.

a = 4.804 Å, b = 4.804 Å, c = 4.804 Å
α = 90.00°, β = 90.00°, γ = 90.00°
Fractional positions:
Zn 0.000 0.000 0.500
Zn 0.000 0.500 0.000
Zn 0.500 0.000 0.000
B 0.500 0.500 0.500
Pt 0.000 0.000 0.000

Properties
energy relative to the lowest polymorph listed for this composition: 672.2 meV/atom
energy of formation from the pure elements: 0.903 eV/atom
Fermi-level density of states: 2.875 states/eV per cell
magnetic moment: 0.00 μB/atom

=====

No. 6
The following is a PBE-GGA calculation of a geometry-optimized KBaCa2Ga structure, from Alexandria via LeMat-Bulk.

a = 6.079 Å, b = 6.079 Å, c = 6.540 Å
α = 90.00°, β = 90.00°, γ = 90.00°
Fractional positions:
K 0.000 0.000 0.000
Ba 0.500 0.500 0.000
Ca 0.000 0.500 0.500
Ca 0.500 0.000 0.500
Ga 0.500 0.500 0.500

Properties
energy of formation from the pure elements: -0.049 eV/atom
Fermi-level density of states: 4.432 states/eV per cell
magnetic moment: 0.00 μB/atom

=====

No. 7
The following is a PBE-GGA calculation of a geometry-optimized BaCaAc2 structure, from Alexandria via LeMat-Bulk.

a = 4.367 Å, b = 4.367 Å, c = 10.065 Å
α = 90.00°, β = 90.00°, γ = 90.00°
Fractional positions:
Ba 0.000 0.000 0.000
Ca 0.000 0.000 0.500
Ac 0.500 0.500 0.287
Ac 0.500 0.500 0.713

Properties
energy relative to the lowest polymorph listed for this composition: 49.1 meV/atom
energy of formation from the pure elements: 0.088 eV/atom
Fermi-level density of states: 5.524 states/eV per cell
magnetic moment: 0.00 μB/atom

=====

No. 8
The following is a PBE-GGA calculation of a geometry-optimized Tb12Er7Zr structure, from Alexandria via LeMat-Bulk.

a = 8.666 Å, b = 8.666 Å, c = 8.666 Å
α = 98.64°, β = 98.64°, γ = 98.64°
Fractional positions:
Tb 0.000 0.261 0.739
Tb 0.000 0.739 0.261
Tb 0.146 0.146 0.411
Tb 0.146 0.411 0.146
Tb 0.261 0.000 0.739
Tb 0.261 0.739 0.000
Tb 0.411 0.146 0.146
Tb 0.589 0.854 0.854
Tb 0.739 0.000 0.261
Tb 0.739 0.261 0.000
Tb 0.854 0.589 0.854
Tb 0.854 0.854 0.589
Er 0.000 0.000 0.000
Er 0.169 0.595 0.595
Er 0.405 0.405 0.831
Er 0.405 0.831 0.405
Er 0.595 0.169 0.595
Er 0.595 0.595 0.169
Er 0.831 0.405 0.405
Zr 0.500 0.500 0.500

Properties
energy relative to the lowest polymorph listed for this composition: 0.0 meV/atom
energy of formation from the pure elements: 0.135 eV/atom
Fermi-level density of states: 34.941 states/eV per cell
magnetic moment: 0.20 μB/atom

=====

No. 9
The following is a PBE-GGA calculation of a geometry-optimized La4CeNd3As8 structure, from Alexandria via LeMat-Bulk.

a = 8.642 Å, b = 8.642 Å, c = 8.642 Å
α = 59.95°, β = 59.95°, γ = 59.95°
Fractional positions:
La 0.000 0.000 0.000
La 0.000 0.500 0.500
La 0.500 0.000 0.500
La 0.500 0.500 0.000
Ce 0.500 0.500 0.500
Nd 0.000 0.000 0.500
Nd 0.000 0.500 0.000
Nd 0.500 0.000 0.000
As 0.249 0.249 0.249
As 0.251 0.746 0.746
As 0.254 0.254 0.749
As 0.254 0.749 0.254
As 0.746 0.251 0.746
As 0.746 0.746 0.251
As 0.749 0.254 0.254
As 0.751 0.751 0.751

Properties
energy of formation from the pure elements: -1.535 eV/atom
Fermi-level density of states: 6.542 states/eV per cell
magnetic moment: 0.04 μB/atom

=====

No. 10
The following is a PBE-GGA calculation of a geometry-optimized Cs4Au3Cl structure, from Alexandria via LeMat-Bulk.

a = 14.657 Å, b = 7.321 Å, c = 7.321 Å
α = 90.00°, β = 90.00°, γ = 90.00°
Fractional positions:
Cs 0.000 0.249 0.000
Cs 0.000 0.750 0.501
Cs 0.240 0.250 0.501
Cs 0.260 0.750 0.001
Cs 0.500 0.250 0.001
Cs 0.500 0.751 0.500
Cs 0.740 0.750 0.001
Cs 0.760 0.250 0.501
Au 0.000 0.749 0.001
Au 0.250 0.250 0.001
Au 0.250 0.750 0.501
Au 0.500 0.251 0.501
Au 0.750 0.250 0.001
Au 0.750 0.750 0.501
Cl 0.000 0.249 0.501
Cl 0.500 0.751 0.001

Properties
Fermi-level density of states: 0.000 states/eV per cell
E_form (uncorrected): -727 meV per atom
magnetic moment: 0.00 μB/atom

=====

No. 11
The following is a PBE-GGA calculation of a geometry-optimized Rb2MnVS4 structure, from Alexandria via LeMat-Bulk.

a = 13.963 Å, b = 12.460 Å, c = 7.400 Å
α = 85.32°, β = 62.80°, γ = 31.88°
Fractional positions:
Rb 0.051 0.051 0.699
Rb 0.301 0.301 0.949
Rb 0.699 0.699 0.051
Rb 0.949 0.949 0.301
Mn 0.125 0.125 0.125
Mn 0.875 0.875 0.875
V 0.375 0.375 0.375
V 0.625 0.625 0.625
S 0.005 0.348 0.434
S 0.287 0.566 0.652
S 0.348 0.005 0.713
S 0.434 0.713 0.005
S 0.566 0.287 0.995
S 0.652 0.995 0.287
S 0.713 0.434 0.348
S 0.995 0.652 0.566

Properties
Fermi-level density of states: 2.370 states/eV per cell
E_form (uncorrected): -1048 meV per atom
magnetic moment: 0.50 μB/atom

=====

No. 12
The following is a PBE-GGA calculation of a geometry-optimized Sm5Dy2Th2 structure, from Alexandria via LeMat-Bulk.

a = 11.882 Å, b = 11.882 Å, c = 8.267 Å
α = 103.07°, β = 103.07°, γ = 16.93°
Fractional positions:
Sm 0.000 0.000 0.000
Sm 0.091 0.091 0.741
Sm 0.303 0.303 0.431
Sm 0.697 0.697 0.569
Sm 0.909 0.909 0.259
Dy 0.156 0.156 0.191
Dy 0.844 0.844 0.809
Th 0.449 0.449 0.629
Th 0.551 0.551 0.371

Properties
energy of formation from the pure elements: 0.289 eV/atom
Fermi-level density of states: 14.484 states/eV per cell
magnetic moment: 0.00 μB/atom